Record 1
This record from the Alexandria database describes crystalline HfTi2O at its relaxed geometry. The functional is PBE.

The structure in CIF format:
```
data_HfTi2O
_cell_length_a 6.054
_cell_length_b 6.054
_cell_length_c 7.787
_cell_angle_alpha 90.00
_cell_angle_beta 90.00
_cell_angle_gamma 90.00
_space_group_name_H-M_alt 'I -4 2 d'
_space_group_IT_number 122
_space_group_name_Hall 'I -4 2bw'
loop_
_atom_site_label
_atom_site_fract_x
_atom_site_fract_y
_atom_site_fract_z
Hf1 0.000 0.000 0.000
Ti1 0.103 0.250 0.625
O1 0.000 0.000 0.500
```

=====

Record 2
This record from the Alexandria database describes crystalline HfTiO2 at its relaxed geometry. The functional is PBE.

The structure in CIF format:
```
data_HfTiO2
_cell_length_a 3.4749
_cell_length_b 3.4749
_cell_length_c 16.3627
_cell_angle_alpha 90.00
_cell_angle_beta 90.00
_cell_angle_gamma 120.00
_space_group_name_H-M_alt 'R -3 m'
_space_group_IT_number 166
_space_group_name_Hall '-R 3 2"'
loop_
_atom_site_label
_atom_site_fract_x
_atom_site_fract_y
_atom_site_fract_z
Hf1 0.0000 0.0000 0.0000
Ti1 0.0000 0.0000 0.5000
O1 0.0000 0.0000 0.3804
```

Computed properties:
polymorph energy (0 for the lowest one): 0 meV per atom

=====

Record 3
This record from the Alexandria database describes crystalline HfTi3O at its relaxed geometry. The functional is PBE.

The structure in CIF format:
```
data_HfTi3O
_cell_length_a 4.237
_cell_length_b 4.237
_cell_length_c 4.237
_cell_angle_alpha 90.00
_cell_angle_beta 90.00
_cell_angle_gamma 90.00
_space_group_name_H-M_alt 'P m -3 m'
_space_group_IT_number 221
_space_group_name_Hall '-P 4 2 3'
loop_
_atom_site_label
_atom_site_fract_x
_atom_site_fract_y
_atom_site_fract_z
Hf1 0.000 0.000 0.000
Ti1 0.000 0.500 0.500
O1 0.500 0.500 0.500
```

Computed properties:
polymorph energy (0 for the lowest one): 39 meV per atom

=====

Record 4
This record from the Alexandria database describes crystalline HfTiO2 at its relaxed geometry. The functional is PBE.

The structure in CIF format:
```
data_HfTiO2
_cell_length_a 5.497
_cell_length_b 5.497
_cell_length_c 5.497
_cell_angle_alpha 90.00
_cell_angle_beta 90.00
_cell_angle_gamma 90.00
_space_group_name_H-M_alt 'F m -3 m'
_space_group_IT_number 225
_space_group_name_Hall '-F 4 2 3'
loop_
_atom_site_label
_atom_site_fract_x
_atom_site_fract_y
_atom_site_fract_z
Hf1 0.000 0.000 0.000
Ti1 0.000 0.000 0.500
O1 0.250 0.250 0.250
```

Computed properties:
polymorph energy (0 for the lowest one): 585 meV per atom

=====

no.,formation energy without anion corrections (eV/atom),electronic total energy (eV per atom)
1,-0.92,-8.60
2,-2.37,-9.31
3,-1.06,-8.78
4,-1.78,-8.72